No. 1
{"formula": "Pr3BiTe2", "functional": "PBE", "state": "optimized geometry", "final_energy_ev_per_cell": -32.452, "sg": "P-3m1", "lattice": [[-2.093, -0.632, 4.000], [-2.026, -1.317, -3.866], [4.802, -10.081, 0.919]], "species": ["Bi", "Pr", "Pr", "Pr", "Te", "Te"], "frac_coords": [[0.000, 0.000, 0.500], [0.000, 0.000, 0.000], [0.333, 0.667, 0.332], [0.667, 0.333, 0.668], [0.667, 0.333, 0.165], [0.333, 0.667, 0.835]]}



No. 2
{"formula": "PrHgSeO", "functional": "PBE", "state": "optimized geometry", "e_above_lowest_polymorph_mev_per_atom": 89, "sg": "P4/nmm", "lattice": [[-0.545, 4.099, -0.387], [-2.960, -0.119, 2.910], [6.983, 1.606, 7.169]], "species": ["Hg", "Hg", "O", "O", "Pr", "Pr", "Se", "Se"], "frac_coords": [[0.750, 0.250, 0.500], [0.250, 0.750, 0.500], [0.750, 0.250, 0.000], [0.250, 0.750, 0.000], [0.250, 0.250, 0.114], [0.750, 0.750, 0.886], [0.750, 0.750, 0.267], [0.250, 0.250, 0.733]]}



No. 3
{"formula": "ZrSc2N3", "functional": "PBE", "state": "optimized geometry", "final_energy_ev_per_cell": -57.435, "sg": "P-3m1", "lattice": [[-3.083, -0.764, 0.408], [2.195, -1.026, 2.094], [-1.044, 6.499, 4.281]], "species": ["N", "N", "N", "Sc", "Sc", "Zr"], "frac_coords": [[0.000, 0.000, 0.000], [0.333, 0.667, 0.332], [0.667, 0.333, 0.668], [0.667, 0.333, 0.163], [0.333, 0.667, 0.837], [0.000, 0.000, 0.500]]}



Copy entry 3 word for word.
{"formula": "ZrSc2N3", "functional": "PBE", "state": "optimized geometry", "final_energy_ev_per_cell": -57.435, "sg": "P-3m1", "lattice": [[-3.083, -0.764, 0.408], [2.195, -1.026, 2.094], [-1.044, 6.499, 4.281]], "species": ["N", "N", "N", "Sc", "Sc", "Zr"], "frac_coords": [[0.000, 0.000, 0.000], [0.333, 0.667, 0.332], [0.667, 0.333, 0.668], [0.667, 0.333, 0.163], [0.333, 0.667, 0.837], [0.000, 0.000, 0.500]]}



Number 1 is which compound?
Pr3BiTe2